Density functional theory data (GGA-PBE) for Sc2GaAuC after structural relaxation.

Calculated values
**Formation energy**: -441 meV/atom
**Final energy**: -30.4 eV per cell

a b c (Å): 4.5742 4.5742 3.9625
angles (deg): 90.00 90.00 90.00
Fractional positions:
Sc 0.0000 0.5000 0.0000
Sc 0.5000 0.0000 0.0000
Ga 0.0000 0.0000 0.5000
Au 0.5000 0.5000 0.5000
C 0.0000 0.0000 0.0000

---

Density functional theory data (GGA-PBE) for GaAuC2Se after structural relaxation.

Calculated values
**Final energy**: -18.5 eV per cell
**Formation energy (no corrections)**: 1.9422 eV per atom

a b c (Å): 3.8670 3.8670 6.1398
angles (deg): 90.00 90.00 90.00
Fractional positions:
Ga 0.0000 0.0000 0.0000
Au 0.5000 0.5000 0.5000
C 0.0000 0.5000 0.0000
C 0.5000 0.0000 0.0000
Se 0.0000 0.0000 0.5000

---

Density functional theory data (GGA-PBE) for GaSiAu2C after structural relaxation.

Calculated values
**Final energy**: -20.3 eV per cell
**Formation energy (no corrections)**: 0.7876 eV per atom

a b c (Å): 4.7615 4.7615 3.6983
angles (deg): 90.00 90.00 90.00
Fractional positions:
Ga 0.0000 0.0000 0.0000
Si 0.5000 0.5000 0.0000
Au 0.0000 0.5000 0.5000
Au 0.5000 0.0000 0.5000
C 0.5000 0.5000 0.5000

---

Density functional theory data (GGA-PBE) for YGa2AuC after structural relaxation.

Calculated values
**Formation energy**: 31 meV/atom
**Final energy**: -24.9 eV per cell

a b c (Å): 4.3220 4.3220 4.7809
angles (deg): 90.00 90.00 90.00
Fractional positions:
Y 0.0000 0.0000 0.0000
Ga 0.0000 0.5000 0.5000
Ga 0.5000 0.0000 0.5000
Au 0.5000 0.5000 0.0000
C 0.0000 0.0000 0.5000

---

Which of these has the highest final energy? GaAuC2Se

---

Which formula does entry 3 have? GaSiAu2C

---

Which value of final energy does entry 3 give? -20.3 eV per cell